No. 1
Below is an optimized crystal structure of LaTmAu6, with properties calculated at the GGA-PBE level.

Output
Energy of formation from the pure elements in eV per atom: -0.658

Unit cell a=4.9571 b=4.8629 c=8.8195 alpha=91.54 beta=73.68 gamma=59.36
Sites, in units of the cell vectors:
1 La 0.0000 0.5000 0.5000
2 Tm 0.0000 0.0000 0.0000
3 Au 0.2294 0.8906 0.6507
4 Au 0.4921 0.2599 0.7559
5 Au 0.2561 0.3704 0.1174
6 Au 0.5079 0.7401 0.2441
7 Au 0.7706 0.1094 0.3493
8 Au 0.7439 0.6296 0.8826



No. 2
Below is an optimized crystal structure of CaPaNO2, with properties calculated at the GGA-PBE level.

Output
Raw formation energy in eV per atom: -2.588

Unit cell a=3.3438 b=5.8797 c=7.5020 alpha=90.00 beta=90.00 gamma=106.52
Sites, in units of the cell vectors:
1 Ca 0.0000 0.0000 0.5000
2 Ca 0.0000 0.0000 0.0000
3 Pa 0.2596 0.5192 0.7500
4 Pa 0.7404 0.4808 0.2500
5 N 0.8789 0.7578 0.7500
6 N 0.1211 0.2422 0.2500
7 O 0.6540 0.3079 0.5718
8 O 0.3460 0.6921 0.4282
9 O 0.3460 0.6921 0.0718
10 O 0.6540 0.3079 0.9282



No. 3
Below is an optimized crystal structure of In2AsAu, with properties calculated at the GGA-PBE level.

Output
Energy above the most stable polymorph in this dataset in meV per atom: 216
Energy of formation from the pure elements in eV per atom: 0.110

Unit cell a=5.0467 b=5.0467 c=5.0467 alpha=60.00 beta=60.00 gamma=60.00
Sites, in units of the cell vectors:
1 As 0.5000 0.5000 0.5000
2 Au 0.7500 0.7500 0.7500
3 In 0.0000 0.0000 0.0000
4 In 0.2500 0.2500 0.2500



No. 4
Below is an optimized crystal structure of Sm2Y2ErMg, with properties calculated at the GGA-PBE level.

Output
Energy of formation from the pure elements in eV per atom: 0.191

Unit cell a=6.7802 b=6.4099 c=9.9740 alpha=108.74 beta=109.87 gamma=90.00
Sites, in units of the cell vectors:
1 Sm 0.3155 0.1523 0.3045
2 Sm 0.6845 0.8477 0.6955
3 Sm 0.0109 0.3477 0.6955
4 Sm 0.9891 0.6523 0.3045
5 Y 0.8099 0.1512 0.3025
6 Y 0.4926 0.6512 0.3025
7 Y 0.5074 0.3488 0.6975
8 Y 0.1901 0.8488 0.6975
9 Er 0.0000 0.7500 0.0000
10 Er 0.0000 0.2500 0.0000
11 Mg 0.5000 0.7500 0.0000
12 Mg 0.5000 0.2500 0.0000



No. 5
Below is an optimized crystal structure of Nb4TcW2, with properties calculated at the GGA-PBE level.

Output
Energy above the most stable polymorph in this dataset in meV per atom: 94
Energy of formation from the pure elements in eV per atom: 0.296

Unit cell a=4.5066 b=3.0898 c=9.8968 alpha=113.25 beta=90.00 gamma=90.00
Sites, in units of the cell vectors:
1 Nb 0.5000 0.2153 0.9421
2 Nb 0.0000 0.1268 0.4211
3 Nb 0.5000 0.9279 0.2008
4 Nb 0.0000 0.0156 0.7217
5 Tc 0.0000 0.0716 0.0715
6 W 0.5000 0.4705 0.6898
7 W 0.5000 0.6721 0.4532



No. 6
Below is an optimized crystal structure of PrSmY2N4, with properties calculated at the GGA-PBE level.

Output
Raw formation energy in eV per atom: -1.519

Unit cell a=3.5606 b=6.1647 c=6.1695 alpha=109.42 beta=90.00 gamma=90.00
Sites, in units of the cell vectors:
1 Pr 0.5000 0.5000 0.0000
2 Sm 0.0000 0.0000 0.0000
3 Y 0.5000 0.0000 0.5000
4 Y 0.0000 0.5000 0.5000
5 N 0.5000 0.2498 0.2580
6 N 0.5000 0.7502 0.7420
7 N 0.0000 0.2437 0.7396
8 N 0.0000 0.7563 0.2604



No. 7
Below is an optimized crystal structure of PaZnCl6, with properties calculated at the GGA-PBE level.

Output
Energy above the most stable polymorph in this dataset in meV per atom: 16
Raw formation energy in eV per atom: -1.517

Unit cell a=6.4696 b=6.4696 c=11.9576 alpha=90.00 beta=90.00 gamma=120.00
Each line ends with the local moment (μB).
Sites, in units of the cell vectors:
1 Pa 0.3333 0.6667 0.2500  1.05
2 Pa 0.6667 0.3333 0.7500  1.05
3 Zn 0.0000 0.0000 0.5000  0.00
4 Zn 0.0000 0.0000 0.0000  0.00
5 Cl 0.3126 0.3229 0.3806  -0.01
6 Cl 0.6874 0.6771 0.6194  -0.01
7 Cl 0.0103 0.6874 0.3806  -0.01
8 Cl 0.3126 0.9897 0.1194  -0.01
9 Cl 0.9897 0.3126 0.6194  -0.01
10 Cl 0.6874 0.0103 0.8806  -0.01
11 Cl 0.6771 0.9897 0.3806  -0.01
12 Cl 0.0103 0.3229 0.1194  -0.01
13 Cl 0.3229 0.0103 0.6194  -0.01
14 Cl 0.9897 0.6771 0.8806  -0.01
15 Cl 0.6771 0.6874 0.1194  -0.01
16 Cl 0.3229 0.3126 0.8806  -0.01



No. 8
Below is an optimized crystal structure of HoRh3O6, with properties calculated at the GGA-PBE level.

Output
Raw formation energy in eV per atom: -1.400

Unit cell a=3.2956 b=6.2051 c=6.2051 alpha=109.22 beta=90.00 gamma=90.00
Each line ends with the local moment (μB).
Sites, in units of the cell vectors:
1 Ho 0.0000 0.5000 0.5000  0.03
2 Rh 0.5000 0.5000 0.0000  0.12
3 Rh 0.0000 0.0000 0.0000  0.54
4 Rh 0.5000 0.0000 0.5000  0.12
5 O 0.0000 0.0733 0.3347  0.04
6 O 0.0000 0.9267 0.6653  0.04
7 O 0.0000 0.3347 0.0733  0.04
8 O 0.0000 0.6653 0.9267  0.04
9 O 0.5000 0.6528 0.3472  0.01
10 O 0.5000 0.3472 0.6528  0.01



No. 9
Below is an optimized crystal structure of TiGaRh4, with properties calculated at the GGA-PBE level.

Output
Energy of formation from the pure elements in eV per atom: -0.259

Unit cell a=4.0919 b=4.0933 c=5.8673 alpha=90.00 beta=89.99 gamma=90.00
Sites, in units of the cell vectors:
1 Ti 0.5013 0.4973 0.9981
2 Ga 0.0013 0.9972 0.4981
3 Rh 0.5014 0.9973 0.2457
4 Rh 0.5013 0.9973 0.7505
5 Rh 0.0013 0.4972 0.7504
6 Rh 0.0013 0.4973 0.2459



No. 10
Below is an optimized crystal structure of LaCd3Sn3, with properties calculated at the GGA-PBE level.

Output
Energy of formation from the pure elements in eV per atom: 0.232

Unit cell a=7.8069 b=7.8069 c=7.8069 alpha=90.00 beta=90.00 gamma=90.00
Each line ends with the local moment (μB).
Sites, in units of the cell vectors:
1 Cd 0.0000 0.2500 0.5000  0.00
2 Cd 0.0000 0.7500 0.5000  0.00
3 Cd 0.5000 0.0000 0.7500  0.00
4 Cd 0.7500 0.5000 0.0000  0.00
5 Cd 0.5000 0.0000 0.2500  0.00
6 Cd 0.2500 0.5000 0.0000  0.00
7 Sn 0.2500 0.0000 0.5000  0.00
8 Sn 0.0000 0.5000 0.2500  0.00
9 Sn 0.5000 0.7500 0.0000  0.00
10 Sn 0.7500 0.0000 0.5000  0.00
11 Sn 0.0000 0.5000 0.7500  0.00
12 Sn 0.5000 0.2500 0.0000  0.00
13 La 0.5000 0.5000 0.5000  0.20
14 La 0.0000 0.0000 0.0000  0.20



No. 11
Below is an optimized crystal structure of Pm6TmSc, with properties calculated at the GGA-PBE level.

Output
Energy of formation from the pure elements in eV per atom: 0.027

Unit cell a=5.0619 b=5.0619 c=10.1273 alpha=90.00 beta=90.00 gamma=90.00
Sites, in units of the cell vectors:
1 Pm 0.5000 0.5000 0.0000
2 Pm 0.5000 0.5000 0.5000
3 Pm 0.5000 0.0000 0.2540
4 Pm 0.5000 0.0000 0.7460
5 Pm 0.0000 0.5000 0.2540
6 Pm 0.0000 0.5000 0.7460
7 Tm 0.0000 0.0000 0.0000
8 Sc 0.0000 0.0000 0.5000



No. 12
Below is an optimized crystal structure of DyHoAsSe, with properties calculated at the GGA-PBE level.

Output
Raw formation energy in eV per atom: -1.628

Unit cell a=4.0182 b=4.0186 c=7.4233 alpha=90.00 beta=105.69 gamma=120.00
Sites, in units of the cell vectors:
1 Dy 0.4828 0.1394 0.6374
2 Ho 0.1224 0.9591 0.0967
3 As 0.3068 0.5513 0.8734
4 Se 0.9660 0.3810 0.3621



No. 13
Below is an optimized crystal structure of PaSbH, with properties calculated at the GGA-PBE level.

Output
Energy above the most stable polymorph in this dataset in meV per atom: 125

Unit cell a=4.0868 b=5.9808 c=5.8884 alpha=74.87 beta=69.69 gamma=70.02
Each line ends with the local moment (μB).
Sites, in units of the cell vectors:
1 Pa 0.2086 0.3453 0.2376  0.92
2 Pa 0.7914 0.6547 0.7624  0.92
3 Sb 0.5410 0.2230 0.6950  -0.04
4 Sb 0.4590 0.7770 0.3050  -0.04
5 H 0.7958 0.3427 0.0657  -0.01
6 H 0.2042 0.6573 0.9343  -0.01



No. 14
Below is an optimized crystal structure of ThBeBRh6, with properties calculated at the GGA-PBE level.

Output
Energy of formation from the pure elements in eV per atom: -0.222

Unit cell a=5.8318 b=8.7665 c=7.6293 alpha=125.07 beta=112.47 gamma=90.00
Sites, in units of the cell vectors:
1 Th 0.8414 0.5914 0.6829
2 Th 0.1586 0.4086 0.3171
3 Be 0.5000 0.0000 0.5000
4 Be 0.0000 0.0000 0.5000
5 B 0.5000 0.5000 0.0000
6 B 0.5000 0.0000 0.0000
7 Rh 0.4587 0.7087 0.9174
8 Rh 0.9030 0.1530 0.8059
9 Rh 0.8761 0.1136 0.2591
10 Rh 0.3830 0.6455 0.2591
11 Rh 0.3830 0.1136 0.2591
12 Rh 0.8761 0.6455 0.2591
13 Rh 0.5413 0.2913 0.0826
14 Rh 0.0970 0.8470 0.1941
15 Rh 0.1239 0.8864 0.7409
16 Rh 0.6170 0.3545 0.7409
17 Rh 0.6170 0.8864 0.7409
18 Rh 0.1239 0.3545 0.7409



No. 15
Below is an optimized crystal structure of LiTa2, with properties calculated at the GGA-PBE level.

Output
Energy above the most stable polymorph in this dataset in meV per atom: 50
Energy of formation from the pure elements in eV per atom: 0.319

Unit cell a=4.8192 b=4.8192 c=2.5886 alpha=90.00 beta=90.00 gamma=120.00
Sites, in units of the cell vectors:
1 Li 0.0000 0.0000 0.0000
2 Ta 0.6667 0.3333 0.7363
3 Ta 0.3333 0.6667 0.2637



No. 16
Below is an optimized crystal structure of CaAl3Cl12, with properties calculated at the GGA-PBE level.

Output
Raw formation energy in eV per atom: -1.534

Unit cell a=11.1287 b=11.1287 c=12.3896 alpha=63.31 beta=63.31 gamma=60.00
Each line ends with the local moment (μB).
Sites, in units of the cell vectors:
1 Ca 0.0581 0.0581 0.8257  0.00
2 Ca 0.5581 0.5581 0.3257  0.00
3 Al 0.7047 0.3773 0.9974  0.00
4 Al 0.2047 0.4206 0.4974  0.00
5 Al 0.8773 0.2047 0.4974  0.00
6 Al 0.3773 0.9206 0.9974  0.00
7 Al 0.9206 0.7047 0.9974  0.00
8 Al 0.4206 0.8773 0.4974  0.00
9 Cl 0.1498 0.0564 0.0059  0.01
10 Cl 0.2107 0.2443 0.6738  0.01
11 Cl 0.9827 0.9915 0.4767  0.15
12 Cl 0.8468 0.4785 0.8418  0.13
13 Cl 0.3468 0.3329 0.3418  0.13
14 Cl 0.4827 0.0491 0.9767  0.15
15 Cl 0.7107 0.3711 0.1738  0.01
16 Cl 0.9915 0.5491 0.4767  0.15
17 Cl 0.6498 0.2879 0.5059  0.01
18 Cl 0.8711 0.2107 0.6738  0.01
19 Cl 0.9785 0.3468 0.3418  0.13
20 Cl 0.2879 0.5564 0.5059  0.01
21 Cl 0.0491 0.4915 0.9767  0.15
22 Cl 0.7879 0.1498 0.0059  0.01
23 Cl 0.4785 0.8329 0.8418  0.13
24 Cl 0.3711 0.7443 0.1738  0.01
25 Cl 0.7443 0.7107 0.1738  0.01
26 Cl 0.4915 0.4827 0.9767  0.15
27 Cl 0.5564 0.6498 0.5059  0.01
28 Cl 0.8329 0.8468 0.8418  0.13
29 Cl 0.3329 0.9785 0.3418  0.13
30 Cl 0.0564 0.7879 0.0059  0.01
31 Cl 0.2443 0.8711 0.6738  0.01
32 Cl 0.5491 0.9827 0.4767  0.15



No. 17
Below is an optimized crystal structure of Sm8MgSn2, with properties calculated at the GGA-PBE level.

Output
Energy of formation from the pure elements in eV per atom: -0.242

Unit cell a=5.2608 b=6.9607 c=10.0905 alpha=104.89 beta=105.11 gamma=90.00
Sites, in units of the cell vectors:
1 Sm 0.4071 0.5177 0.8142
2 Sm 0.6587 0.9879 0.3174
3 Sm 0.7926 0.6884 0.5852
4 Sm 0.9830 0.2337 0.9661
5 Sm 0.2074 0.3116 0.4148
6 Sm 0.3413 0.0121 0.6826
7 Sm 0.5929 0.4823 0.1858
8 Sm 0.0170 0.7663 0.0339
9 Mg 0.5000 0.0000 0.0000
10 Sn 0.8197 0.2523 0.6394
11 Sn 0.1803 0.7477 0.3606



No. 18
Below is an optimized crystal structure of RbCo, with properties calculated at the GGA-PBE level.

Output
Energy above the most stable polymorph in this dataset in meV per atom: 0
Energy of formation from the pure elements in eV per atom: 0.677

Unit cell a=12.5380 b=12.5380 c=4.1299 alpha=90.00 beta=90.00 gamma=90.00
Each line ends with the local moment (μB).
Sites, in units of the cell vectors:
1 Rb 0.7064 0.3568 0.5000  -0.01
2 Rb 0.2936 0.6432 0.5000  -0.01
3 Rb 0.6432 0.7064 0.5000  -0.01
4 Rb 0.3568 0.2936 0.5000  -0.01
5 Rb 0.9687 0.7647 0.0000  0.00
6 Rb 0.0313 0.2353 0.0000  0.00
7 Rb 0.2353 0.9687 0.0000  0.00
8 Rb 0.7647 0.0313 0.0000  0.00
9 Co 0.9304 0.5527 0.5000  1.77
10 Co 0.0696 0.4473 0.5000  1.77
11 Co 0.4473 0.9304 0.5000  1.77
12 Co 0.5527 0.0696 0.5000  1.77
13 Co 0.9143 0.4809 0.0000  1.76
14 Co 0.0857 0.5191 0.0000  1.76
15 Co 0.5191 0.9143 0.0000  1.76
16 Co 0.4809 0.0857 0.0000  1.76



No. 19
Below is an optimized crystal structure of SrPm3U2N6, with properties calculated at the GGA-PBE level.

Output
Raw formation energy in eV per atom: -1.324

Unit cell a=3.5548 b=7.1415 c=7.9872 alpha=102.72 beta=102.86 gamma=90.00
Each line ends with the local moment (μB).
Sites, in units of the cell vectors:
1 Sr 0.5000 0.0000 0.0000  0.00
2 Pm 0.5000 0.5000 0.0000  0.02
3 Pm 0.8309 0.1638 0.6619  0.02
4 Pm 0.1691 0.8362 0.3381  0.02
5 U 0.8323 0.6657 0.6645  0.72
6 U 0.1677 0.3343 0.3355  0.72
7 N 0.3287 0.8834 0.6575  -0.02
8 N 0.6736 0.5673 0.3472  -0.04
9 N 0.6713 0.1166 0.3425  -0.02
10 N 0.0269 0.2774 0.0537  -0.02
11 N 0.9731 0.7226 0.9463  -0.02
12 N 0.3264 0.4327 0.6528  -0.04



No. 20
Below is an optimized crystal structure of LaYTm2, with properties calculated at the GGA-PBE level.

Output
Energy above the most stable polymorph in this dataset in meV per atom: 84
Energy of formation from the pure elements in eV per atom: 0.097

Unit cell a=5.7047 b=5.7047 c=5.7047 alpha=60.00 beta=60.00 gamma=60.00
Sites, in units of the cell vectors:
1 Y 0.5000 0.5000 0.5000
2 Tm 0.2500 0.2500 0.2500
3 Tm 0.7500 0.7500 0.7500
4 La 0.0000 0.0000 0.0000



Total moment (computed, Bohr magnetons per cell): 0.0 0.0 0.0 0.0 0.0 0.0 2.0 1.0 0.0 0.4 0.0 0.0 2.1 0.0 0.0 2.4 0.0 14.0 1.5 0.0
Uncorrected energy (computed, eV/atom): -4.29 -8.54 -3.24 -4.56 -10.64 -8.48 -4.25 -7.04 -6.98 -2.58 -4.89 -5.96 -6.07 -7.10 -8.22 -3.75 -4.55 -3.36 -8.70 -4.99